! BaCaNiF6, optimized geometry, DFT GGA+U; values from VASP
! energy: -5.28 eV/atom
! DOS at the Fermi energy: 0.000 states/eV/atom
&SYSTEM
  ibrav = 0, nat = 18, ntyp = 4
/
ATOMIC_SPECIES
Ba 137.33 Ba.upf
Ca 40.08 Ca.upf
Ni 58.69 Ni.upf
F 19.00 F.upf
CELL_PARAMETERS angstrom
5.7041 0.0000 0.0000
-2.8521 4.9399 0.0000
0.0000 0.0000 11.0723
ATOMIC_POSITIONS angstrom
Ba 0.0000 0.0000 0.0000
Ba 0.0000 0.0000 5.5362
Ca 0.0000 3.2933 2.7681
Ca 2.8521 1.6466 8.3043
Ni 0.0000 3.2933 8.3043
Ni 2.8521 1.6466 2.7681
F -0.9201 1.8814 7.1456
F -1.6828 3.2024 9.4630
F 0.9201 1.8814 9.4630
F -0.7627 4.7960 7.1456
F 2.0894 0.1439 1.6094
F 1.1693 1.7375 3.9268
F 1.6828 3.2024 7.1456
F 0.7627 4.7960 9.4630
F 3.6148 0.1439 3.9268
F 1.9320 3.0585 1.6094
F 4.5348 1.7375 1.6094
F 3.7721 3.0585 3.9268